# 1
# DyNi5As3 | Alexandria | PBE | relaxed
data_DyNi5As3
_chemical_formula_sum 'Dy4 Ni20 As12'
_space_group_name_H-M_alt 'C m c m'
_space_group_IT_number 63
_space_group_name_Hall '-C 2c 2'
_cell_length_a 3.686
_cell_length_b 12.195
_cell_length_c 11.766
_cell_angle_alpha 90.00
_cell_angle_beta 90.00
_cell_angle_gamma 90.00
loop_
_atom_site_label
_atom_site_fract_x
_atom_site_fract_y
_atom_site_fract_z
Dy1 0.000 0.154 0.250
Ni1 0.000 0.000 0.000
Ni2 0.000 0.196 0.570
Ni3 0.000 0.451 0.145
As1 0.000 0.118 0.750
As2 0.000 0.380 0.547
# density of states at the Fermi level: 6.2 states/eV/f.u.
# energy of formation from the pure elements: -0.53 eV per atom
# calculated density: 8549 kg/m3
# crystal system: orthorhombic



# 2
# DyNiAs | Alexandria | PBE | relaxed
data_DyNiAs
_chemical_formula_sum 'Dy1 Ni1 As1'
_space_group_name_H-M_alt 'P -6 m 2'
_space_group_IT_number 187
_space_group_name_Hall 'P -6 2'
_cell_length_a 4.0524
_cell_length_b 4.0524
_cell_length_c 3.8845
_cell_angle_alpha 90.00
_cell_angle_beta 90.00
_cell_angle_gamma 120.00
loop_
_atom_site_label
_atom_site_fract_x
_atom_site_fract_y
_atom_site_fract_z
Dy1 0.0000 0.0000 0.0000
Ni1 0.6667 0.3333 0.5000
As1 0.3333 0.6667 0.5000
# density of states at the Fermi level: 1.1 states/eV/f.u.
# energy of formation from the pure elements: -1.05 eV per atom
# calculated density: 8901 kg/m3
# crystal system: hexagonal



# 3
# DyNi6As2 | Alexandria | PBE | relaxed
data_DyNi6As2
_chemical_formula_sum 'Dy1 Ni6 As2'
_space_group_name_H-M_alt 'P 4/m m m'
_space_group_IT_number 123
_space_group_name_Hall '-P 4 2'
_cell_length_a 3.940
_cell_length_b 3.940
_cell_length_c 8.032
_cell_angle_alpha 90.00
_cell_angle_beta 90.00
_cell_angle_gamma 90.00
loop_
_atom_site_label
_atom_site_fract_x
_atom_site_fract_y
_atom_site_fract_z
Dy1 0.000 0.000 0.000
Ni1 0.000 0.000 0.500
Ni2 0.000 0.500 0.312
Ni3 0.500 0.500 0.500
As1 0.500 0.500 0.163
# density of states at the Fermi level: 14.7 states/eV/f.u.
# energy of formation from the pure elements: -0.35 eV per atom
# calculated density: 8848 kg/m3
# crystal system: tetragonal



# 4
# DyNiAs | Alexandria | PBE | relaxed
data_DyNiAs
_chemical_formula_sum 'Dy4 Ni4 As4'
_space_group_name_H-M_alt 'P 63/m m c'
_space_group_IT_number 194
_space_group_name_Hall '-P 6c 2c'
_cell_length_a 4.0690
_cell_length_b 4.0690
_cell_length_c 15.3253
_cell_angle_alpha 90.00
_cell_angle_beta 90.00
_cell_angle_gamma 120.00
loop_
_atom_site_label
_atom_site_fract_x
_atom_site_fract_y
_atom_site_fract_z
Dy1 0.0000 0.0000 0.0000
Dy2 0.0000 0.0000 0.2500
Ni1 0.3333 0.6667 0.1335
As1 0.3333 0.6667 0.6208
# density of states at the Fermi level: 1.1 states/eV/f.u.
# energy of formation from the pure elements: -1.06 eV per atom
# calculated density: 8951 kg/m3
# crystal system: hexagonal



# 5
# Dy2Ni5As3 | Alexandria | PBE | relaxed
data_Dy2Ni5As3
_chemical_formula_sum 'Dy8 Ni20 As12'
_space_group_name_H-M_alt 'C m c 21'
_space_group_IT_number 36
_space_group_name_Hall 'C 2c -2'
_cell_length_a 4.083
_cell_length_b 22.997
_cell_length_c 6.542
_cell_angle_alpha 90.00
_cell_angle_beta 90.00
_cell_angle_gamma 90.00
loop_
_atom_site_label
_atom_site_fract_x
_atom_site_fract_y
_atom_site_fract_z
Dy1 0.000 0.018 0.000
Dy2 0.000 0.325 0.000
Ni1 0.000 0.106 0.694
Ni2 0.000 0.208 0.167
Ni3 0.000 0.216 0.775
Ni4 0.000 0.375 0.481
Ni5 0.000 0.445 0.811
As1 0.000 0.109 0.293
As2 0.000 0.272 0.469
As3 0.000 0.448 0.206
# density of states at the Fermi level: 7.4 states/eV/f.u.
# energy of formation from the pure elements: -0.64 eV per atom
# calculated density: 9117 kg/m3
# crystal system: orthorhombic



# 6
# DyNiAs3 | Alexandria | PBE | relaxed
data_DyNiAs3
_chemical_formula_sum 'Dy4 Ni4 As12'
_space_group_name_H-M_alt 'P b c m'
_space_group_IT_number 57
_space_group_name_Hall '-P 2c 2b'
_cell_length_a 11.859
_cell_length_b 5.609
_cell_length_c 5.570
_cell_angle_alpha 90.00
_cell_angle_beta 90.00
_cell_angle_gamma 90.00
loop_
_atom_site_label
_atom_site_fract_x
_atom_site_fract_y
_atom_site_fract_z
Dy1 0.191 0.001 0.250
Ni1 0.408 0.750 0.000
As1 0.002 0.750 0.000
As2 0.281 0.007 0.750
As3 0.440 0.115 0.250
# density of states at the Fermi level: 2.0 states/eV/f.u.
# energy of formation from the pure elements: -0.67 eV per atom
# calculated density: 7994 kg/m3
# crystal system: orthorhombic



# 7
# DyNi3As2 | Alexandria | PBE | relaxed
data_DyNi3As2
_chemical_formula_sum 'Dy6 Ni18 As12'
_space_group_name_H-M_alt 'C 1 2/m 1'
_space_group_IT_number 12
_space_group_name_Hall '-C 2y'
_cell_length_a 15.530
_cell_length_b 3.861
_cell_length_c 9.404
_cell_angle_alpha 90.00
_cell_angle_beta 106.46
_cell_angle_gamma 90.00
loop_
_atom_site_label
_atom_site_fract_x
_atom_site_fract_y
_atom_site_fract_z
Dy1 0.000 0.000 0.000
Dy2 0.155 0.000 0.701
Ni1 0.000 0.500 0.500
Ni2 0.045 0.000 0.343
Ni3 0.125 0.500 0.203
Ni4 0.174 0.500 0.968
Ni5 0.215 0.000 0.388
As1 0.034 0.500 0.783
As2 0.141 0.500 0.457
As3 0.200 0.000 0.129
# density of states at the Fermi level: 3.7 states/eV/f.u.
# energy of formation from the pure elements: -0.72 eV per atom
# distance to the lowest polymorph of the same formula: 0.0 kJ per mole of atoms
# calculated density: 9000 kg/m3
# crystal system: monoclinic



# 8
# DyNi3As2 | Alexandria | PBE | relaxed
data_DyNi3As2
_chemical_formula_sum 'Dy4 Ni12 As8'
_space_group_name_H-M_alt 'C 1 2/m 1'
_space_group_IT_number 12
_space_group_name_Hall '-C 2y'
_cell_length_a 14.832
_cell_length_b 3.897
_cell_length_c 7.048
_cell_angle_alpha 90.00
_cell_angle_beta 115.58
_cell_angle_gamma 90.00
loop_
_atom_site_label
_atom_site_fract_x
_atom_site_fract_y
_atom_site_fract_z
Dy1 0.149 0.000 0.069
Ni1 0.044 0.000 0.385
Ni2 0.098 0.500 0.677
Ni3 0.187 0.500 0.443
As1 0.021 0.500 0.195
As2 0.195 0.000 0.695
# density of states at the Fermi level: 5.2 states/eV/f.u.
# energy of formation from the pure elements: -0.64 eV per atom
# distance to the lowest polymorph of the same formula: 7.2 kJ per mole of atoms
# calculated density: 8829 kg/m3
# crystal system: monoclinic



| no. | electronic total energy (Ry per atom) | total moment (μB per formula unit) |
| --- | --- | --- |
| 1 | -0.4264 | 0.00 |
| 2 | -0.4458 | 0.00 |
| 3 | -0.4227 | 1.44 |
| 4 | -0.4464 | 0.00 |
| 5 | -0.4299 | 0.00 |
| 6 | -0.4071 | 0.00 |
| 7 | -0.4356 | 0.00 |
| 8 | -0.4301 | 0.00 |